(1)
Cr2CdCl | PBE-GGA | relaxed

abc: 6.372 6.372 4.914
angles: 90.88 90.88 27.78
Last column: magnetic moment on the atom in μB.
Fractional coordinates of all 4 atoms:
Cd 0.531 0.531 0.502  0.02
Cr 0.654 0.654 0.007  3.35
Cr 0.999 0.999 0.002  -3.20
Cl 0.317 0.317 0.989  -0.01

Calculated values
Density of states at the Fermi level ... 0.21 states/eV per atom
E above lowest polymorph ... 110 meV per atom
Calculated total energy ... -21.27 eV/cell

(2)
Cr2CdCl | PBE-GGA | relaxed

abc: 4.561 4.561 9.474
angles: 76.07 76.07 90.00
Last column: magnetic moment on the atom in μB.
Fractional coordinates of all 8 atoms:
Cr 0.602 0.125 0.250  3.98
Cr 0.148 0.625 0.250  3.97
Cr 0.875 0.852 0.750  3.96
Cr 0.375 0.398 0.750  3.99
Cd 0.750 0.250 0.500  0.00
Cd 0.000 0.000 0.000  0.00
Cl 0.500 0.500 0.000  0.01
Cl 0.250 0.750 0.500  0.01

Calculated values
Density of states at the Fermi level ... 0.50 states/eV per atom
E above lowest polymorph ... 589 meV per atom
Calculated total energy ... -38.70 eV/cell